Below is AgB2O2 after structural relaxation, with properties calculated at the PBE-GGA level.

formation energy without anion corrections = 438.6 meV/atom
ΔE to the lowest computed polymorph = 1553 meV/atom

abc: 3.5140 3.5140 4.3145
angles: 65.97 65.97 90.00
Sites, in units of the cell vectors:
B (0.6288, 0.6288, 0.7423)
B (0.3712, 0.3712, 0.2577)
O (0.2500, 0.7500, 0.5000)
O (0.7500, 0.2500, 0.5000)
Ag (0.0000, 0.0000, 0.0000)


Below is CdRe2Pb after structural relaxation, with properties calculated at the PBE-GGA level.

energy of formation from the pure elements = 1.08 eV per atom
ΔE to the lowest computed polymorph = 739 meV/atom

abc: 9.3729 9.3729 9.3729
angles: 18.61 18.61 18.61
Sites, in units of the cell vectors:
Pb (0.7500, 0.7500, 0.7500)
Re (0.4990, 0.4990, 0.4990)
Re (0.0010, 0.0010, 0.0010)
Cd (0.2500, 0.2500, 0.2500)


Below is LiWBr after structural relaxation, with properties calculated at the PBE-GGA level.

formation energy without anion corrections = 1533.2 meV/atom
ΔE to the lowest computed polymorph = 1038 meV/atom

abc: 4.2674 4.2674 4.2674
angles: 60.00 60.00 60.00
Sites, in units of the cell vectors:
Br (0.0000, 0.0000, 0.0000)
W (0.7500, 0.7500, 0.7500)
Li (0.5000, 0.5000, 0.5000)


Below is Tb2Ni3As4Ir after structural relaxation, with properties calculated at the PBE-GGA level.

energy of formation from the pure elements = -0.76 eV per atom

abc: 4.1841 4.1841 9.5803
angles: 90.00 90.00 90.00
Sites, in units of the cell vectors:
As (0.5000, 0.5000, 0.0000)
Tb (0.5000, 0.0000, 0.2473)
Ni (0.0000, 0.5000, 0.1189)
As (0.5000, 0.0000, 0.6393)
Tb (0.0000, 0.5000, 0.7527)
Ni (0.0000, 0.0000, 0.5000)
As (0.0000, 0.0000, 0.0000)
Ni (0.5000, 0.0000, 0.8811)
Ir (0.5000, 0.5000, 0.5000)
As (0.0000, 0.5000, 0.3607)


Below is AcZn2InPt5 after structural relaxation, with properties calculated at the PBE-GGA level.

energy of formation from the pure elements = -0.41 eV per atom

abc: 4.7980 4.7980 7.5308
angles: 90.00 90.00 90.00
Sites, in units of the cell vectors:
In (0.0000, 0.0000, 0.0000)
Pt (0.5000, 0.0000, 0.7795)
Ac (0.0000, 0.0000, 0.5000)
Pt (0.0000, 0.5000, 0.7795)
Pt (0.5000, 0.0000, 0.2205)
Zn (0.5000, 0.5000, 0.8395)
Pt (0.0000, 0.5000, 0.2205)
Zn (0.5000, 0.5000, 0.1605)
Pt (0.5000, 0.5000, 0.5000)


Below is Tb2TaSi4Pt3 after structural relaxation, with properties calculated at the PBE-GGA level.

formation energy without anion corrections = -960.7 meV/atom

abc: 4.1716 4.1716 10.3049
angles: 90.00 90.00 90.00
Sites, in units of the cell vectors:
Si (0.0000, 0.5000, 0.3541)
Si (0.0000, 0.0000, 0.0000)
Si (0.5000, 0.5000, 0.0000)
Pt (0.5000, 0.0000, 0.8795)
Ta (0.5000, 0.5000, 0.5000)
Tb (0.0000, 0.5000, 0.7612)
Pt (0.0000, 0.5000, 0.1205)
Pt (0.0000, 0.0000, 0.5000)
Si (0.5000, 0.0000, 0.6459)
Tb (0.5000, 0.0000, 0.2388)


Below is NaCdIn2Hg8 after structural relaxation, with properties calculated at the PBE-GGA level.

energy of formation from the pure elements = -0.06 eV per atom

abc: 6.1719 6.1761 10.5939
angles: 88.26 88.04 129.45
Sites, in units of the cell vectors:
Hg (0.8686, 0.1969, 0.2455)
Hg (0.8025, 0.1323, 0.7543)
Cd (0.0000, 0.0000, 0.0000)
Hg (0.3349, 0.6652, 0.9997)
Na (0.0000, 0.0000, 0.5000)
Hg (0.6651, 0.3348, 0.0003)
In (0.4659, 0.4659, 0.7476)
Hg (0.6729, 0.3271, 0.4995)
Hg (0.3271, 0.6729, 0.5005)
Hg (0.1975, 0.8677, 0.2457)
Hg (0.1314, 0.8031, 0.7545)
In (0.5341, 0.5341, 0.2524)


Below is Pu6TcRu3 after structural relaxation, with properties calculated at the PBE-GGA level.

energy of formation from the pure elements = 0.16 eV per atom

abc: 6.3756 6.3756 12.6972
angles: 90.00 90.00 120.00
Each line ends with the local moment (μB).
Sites, in units of the cell vectors:
Ru (0.3333, 0.6667, 0.4841)  -0.70
Pu (0.9550, 0.3002, 0.1379)  5.12
Ru (0.0000, 0.0000, 0.0000)  -0.60
Tc (0.6667, 0.3333, 0.7500)  -0.84
Pu (0.3451, 0.0450, 0.1379)  5.12
Tc (0.3333, 0.6667, 0.2500)  -0.84
Pu (0.0450, 0.6998, 0.6379)  5.12
Pu (0.9550, 0.6549, 0.3621)  5.12
Pu (0.6549, 0.9550, 0.6379)  5.12
Pu (0.3451, 0.3002, 0.3621)  5.12
Ru (0.0000, 0.0000, 0.5000)  -0.60
Pu (0.6998, 0.0450, 0.3621)  5.12
Pu (0.3002, 0.9550, 0.8621)  5.12
Ru (0.6667, 0.3333, 0.5159)  -0.70
Ru (0.6667, 0.3333, 0.9841)  -0.70
Pu (0.3002, 0.3451, 0.6379)  5.12
Pu (0.6549, 0.6998, 0.8621)  5.12
Ru (0.3333, 0.6667, 0.0159)  -0.70
Pu (0.0450, 0.3451, 0.8621)  5.12
Pu (0.6998, 0.6549, 0.1379)  5.12


In order of appearance, VASP energy = -0.1759, -0.2316, -0.1463, -0.2268, -0.1768, -0.2592, -0.0331, -0.4504 Ha/atom.